The following is a DFT calculation (GGA-PBE) of crystalline Cd2PtPbO6 at its relaxed geometry.

Properties
Raw formation energy ... -0.51 eV per atom
DFT total energy ... -4.6424 eV/atom
DOS(E_F) ... 0.461 states/eV/atom

abc: 5.803 5.803 4.573
angles: 90.00 90.00 90.00
Space group P4mm (No. 99)
Symmetry-distinct sites (fractional):
1 Cd 0.000 0.500 0.000
2 Pt 0.000 0.000 0.662
3 Pb 0.500 0.500 0.600
4 O 0.000 0.000 0.239
5 O 0.237 0.237 0.752
6 O 0.500 0.500 0.138